Record 1
DFT (PBE) results for a relaxed structure of MgHg2Bi.

Lattice parameters (Å, degrees): 3.772 3.772 7.063 90.00 90.00 90.00
Fractional positions:
Mg 0.000 0.000 0.000
Hg 0.500 0.500 0.221
Hg 0.500 0.500 0.779
Bi 0.000 0.000 0.500

Results
ΔH_f (0 K): -34 meV per atom


Record 2
DFT (PBE) results for a relaxed structure of AlTc2TeAu.

Lattice parameters (Å, degrees): 4.870 4.870 5.072 90.00 90.00 90.00
Fractional positions:
Al 0.000 0.000 0.000
Tc 0.000 0.500 0.500
Tc 0.500 0.000 0.500
Te 0.000 0.000 0.500
Au 0.500 0.500 0.000

Results
Formation energy without anion corrections: 36.79 kcal/mol of atoms